(1)
The following is a GGA-PBE calculation of CaDy2MgAu4 after structural relaxation, from the Alexandria database.

Computed properties:
- ΔH_f (0 K) (meV/atom) = -792
- Fermi-level density of states (states/eV per cell) = 4.85

Cell: 8.6737 8.6737 8.6737 Å, 33.49 33.49 33.49°
Sites, in units of the cell vectors:
Ca (0.0000, 0.0000, 0.0000)
Dy (0.2465, 0.2465, 0.2465)
Dy (0.7535, 0.7535, 0.7535)
Mg (0.5000, 0.5000, 0.5000)
Au (0.1255, 0.1255, 0.1255)
Au (0.3787, 0.3787, 0.3787)
Au (0.6213, 0.6213, 0.6213)
Au (0.8745, 0.8745, 0.8745)

(2)
The following is a GGA-PBE calculation of Ac3Sn9Rh2 after structural relaxation, from the Alexandria database.

Computed properties:
- ΔH_f (0 K) (meV/atom) = -464
- Fermi-level density of states (states/eV per cell) = 7.86

Cell: 9.3826 9.3826 9.3826 Å, 151.34 97.53 89.52°
Sites, in units of the cell vectors:
Ac (0.0000, 0.0000, 0.0000)
Ac (0.3187, 0.3187, 0.0000)
Ac (0.6813, 0.6813, 0.0000)
Sn (0.0262, 0.6556, 0.3706)
Sn (0.1655, 0.8799, 0.2856)
Sn (0.2850, 0.6556, 0.6294)
Sn (0.4057, 0.1201, 0.2856)
Sn (0.5000, 0.0000, 0.5000)
Sn (0.5943, 0.8799, 0.7144)
Sn (0.7150, 0.3444, 0.3706)
Sn (0.8345, 0.1201, 0.7144)
Sn (0.9738, 0.3444, 0.6294)
Rh (0.2763, 0.5000, 0.7763)
Rh (0.7237, 0.5000, 0.2237)

(3)
The following is a GGA-PBE calculation of U3TaSi6 after structural relaxation, from the Alexandria database.

Computed properties:
- Fermi-level density of states (states/eV per cell) = 29.31
- total energy (eV for the cell shown) = -162.82

Cell: 7.2106 7.2106 7.2106 Å, 96.82 96.82 96.82°
Sites, in units of the cell vectors:
U (0.1868, 0.7500, 0.3132)
U (0.2500, 0.6868, 0.8132)
U (0.3132, 0.1868, 0.7500)
U (0.6868, 0.8132, 0.2500)
U (0.7500, 0.3132, 0.1868)
U (0.8132, 0.2500, 0.6868)
Ta (0.0000, 0.0000, 0.0000)
Ta (0.5000, 0.5000, 0.5000)
Si (0.0184, 0.0898, 0.3720)
Si (0.0898, 0.3720, 0.0184)
Si (0.1280, 0.4102, 0.4816)
Si (0.3720, 0.0184, 0.0898)
Si (0.4102, 0.4816, 0.1280)
Si (0.4816, 0.1280, 0.4102)
Si (0.5184, 0.8720, 0.5898)
Si (0.5898, 0.5184, 0.8720)
Si (0.6280, 0.9816, 0.9102)
Si (0.8720, 0.5898, 0.5184)
Si (0.9102, 0.6280, 0.9816)
Si (0.9816, 0.9102, 0.6280)

(4)
The following is a GGA-PBE calculation of K5Zn4Sn5H4S17N after structural relaxation, from the Alexandria database.

Computed properties:
- total energy (eV for the cell shown) = -148.26

Cell: 11.0452 11.0452 11.0452 Å, 100.94 100.94 128.35°
Sites, in units of the cell vectors:
K (0.0000, 0.0000, 0.0000)
K (0.2615, 0.2615, 0.5230)
K (0.2615, 0.7385, 0.0000)
K (0.7385, 0.2615, 0.0000)
K (0.7385, 0.7385, 0.4770)
Zn (0.2227, 0.3600, 0.8627)
Zn (0.4973, 0.3600, 0.1373)
Zn (0.6400, 0.5027, 0.8627)
Zn (0.6400, 0.7773, 0.1373)
Sn (0.2500, 0.7500, 0.5000)
Sn (0.2756, 0.0518, 0.7762)
Sn (0.2756, 0.4994, 0.2238)
Sn (0.5006, 0.7244, 0.7762)
Sn (0.9482, 0.7244, 0.2238)
H (0.6275, 0.1870, 0.4406)
H (0.7464, 0.1870, 0.5594)
H (0.8130, 0.2536, 0.4406)
H (0.8130, 0.3725, 0.5594)
S (0.0758, 0.0807, 0.7221)
S (0.0758, 0.3537, 0.9951)
S (0.1045, 0.4623, 0.3579)
S (0.1045, 0.7466, 0.6421)
S (0.2081, 0.4887, 0.7194)
S (0.2534, 0.8955, 0.3579)
S (0.3586, 0.0807, 0.0049)
S (0.3586, 0.3537, 0.2779)
S (0.5000, 0.5000, 0.0000)
S (0.5113, 0.2308, 0.7194)
S (0.5113, 0.7919, 0.2806)
S (0.5377, 0.8955, 0.6421)
S (0.6463, 0.6414, 0.7221)
S (0.6463, 0.9242, 0.0049)
S (0.7692, 0.4887, 0.2806)
S (0.9193, 0.6414, 0.9951)
S (0.9193, 0.9242, 0.2779)
N (0.7500, 0.2500, 0.5000)

(5)
The following is a GGA-PBE calculation of Er2Mg2Cd after structural relaxation, from the Alexandria database.

Computed properties:
- ΔH_f (0 K) (meV/atom) = -101
- Fermi-level density of states (states/eV per cell) = 9.96
- distance to the lowest polymorph of the same formula (eV/f.u.) = 0.00

Cell: 6.1780 6.1780 9.1828 Å, 106.78 106.78 49.81°
Sites, in units of the cell vectors:
Er (0.0408, 0.0408, 0.3461)
Er (0.1615, 0.1615, 0.0564)
Er (0.8385, 0.8385, 0.9436)
Er (0.9592, 0.9592, 0.6539)
Mg (0.3572, 0.3572, 0.4260)
Mg (0.4746, 0.4746, 0.1432)
Mg (0.5254, 0.5254, 0.8568)
Mg (0.6428, 0.6428, 0.5740)
Cd (0.2550, 0.2550, 0.7158)
Cd (0.7450, 0.7450, 0.2842)

(6)
The following is a GGA-PBE calculation of Rb3MgTl8 after structural relaxation, from the Alexandria database.

Computed properties:
- ΔH_f (0 K) (meV/atom) = -9
- Fermi-level density of states (states/eV per cell) = 5.89

Cell: 11.5686 11.5686 11.5686 Å, 33.94 33.94 33.94°
Sites, in units of the cell vectors:
Rb (0.0000, 0.0000, 0.0000)
Rb (0.1252, 0.1252, 0.1252)
Rb (0.5060, 0.5060, 0.5060)
Mg (0.6409, 0.6409, 0.6409)
Tl (0.0600, 0.5619, 0.5619)
Tl (0.0664, 0.0664, 0.5661)
Tl (0.0664, 0.5661, 0.0664)
Tl (0.3143, 0.3143, 0.3143)
Tl (0.5619, 0.0600, 0.5619)
Tl (0.5619, 0.5619, 0.0600)
Tl (0.5661, 0.0664, 0.0664)
Tl (0.8113, 0.8113, 0.8113)

(7)
The following is a GGA-PBE calculation of Na2Fe2Sb after structural relaxation, from the Alexandria database.

Computed properties:
- Fermi-level density of states (states/eV per cell) = 4.26
- distance to the lowest polymorph of the same formula (eV/f.u.) = 1.58

Cell: 7.5631 7.5631 7.5631 Å, 150.73 150.73 41.88°
Sites, in units of the cell vectors:
Na (0.2500, 0.7500, 0.5000)
Na (0.7500, 0.2500, 0.5000)
Fe (0.0775, 0.0775, 0.0000)
Fe (0.9225, 0.9225, 0.0000)
Sb (0.5000, 0.5000, 0.0000)

(8)
The following is a GGA-PBE calculation of FePt5 after structural relaxation, from the Alexandria database.

Computed properties:
- ΔH_f (0 K) (meV/atom) = -105
- Fermi-level density of states (states/eV per cell) = 6.31

Cell: 4.6200 7.3078 7.3078 Å, 21.85 90.00 90.00°
Sites, in units of the cell vectors:
Fe (0.0000, 0.0000, 0.0000)
Pt (0.0000, 0.3410, 0.3410)
Pt (0.0000, 0.6617, 0.6617)
Pt (0.5000, 0.2220, 0.2220)
Pt (0.5000, 0.5538, 0.5538)
Pt (0.5000, 0.8894, 0.8894)

(9)
The following is a GGA-PBE calculation of FeCo2AgPb after structural relaxation, from the Alexandria database.

Computed properties:
- ΔH_f (0 K) (meV/atom) = 1643
- Fermi-level density of states (states/eV per cell) = 9.60

Cell: 4.8149 4.8149 4.9214 Å, 90.00 90.00 90.00°
Sites, in units of the cell vectors:
Fe (0.0000, 0.0000, 0.0000)
Co (0.0000, 0.5000, 0.5000)
Co (0.5000, 0.0000, 0.5000)
Ag (0.5000, 0.5000, 0.0000)
Pb (0.0000, 0.0000, 0.5000)

(10)
The following is a GGA-PBE calculation of YRhF2 after structural relaxation, from the Alexandria database.

Computed properties:
- Fermi-level density of states (states/eV per cell) = 0.04
- distance to the lowest polymorph of the same formula (eV/f.u.) = 0.00

Cell: 4.9188 4.9188 4.9188 Å, 49.51 49.51 49.51°
Sites, in units of the cell vectors:
Y (0.0000, 0.0000, 0.0000)
Rh (0.5000, 0.5000, 0.5000)
F (0.3399, 0.3399, 0.3399)
F (0.6601, 0.6601, 0.6601)

(11)
The following is a GGA-PBE calculation of InReAsBr2 after structural relaxation, from the Alexandria database.

Computed properties:
- Fermi-level density of states (states/eV per cell) = 2.21
- distance to the lowest polymorph of the same formula (eV/f.u.) = 4.57

Cell: 5.3438 5.3438 5.5186 Å, 90.00 90.00 90.00°
Sites, in units of the cell vectors:
In (0.0000, 0.0000, 0.0000)
Re (0.5000, 0.5000, 0.5000)
As (0.0000, 0.0000, 0.5000)
Br (0.0000, 0.5000, 0.0000)
Br (0.5000, 0.0000, 0.0000)

(12)
The following is a GGA-PBE calculation of PuSc5P6 after structural relaxation, from the Alexandria database.

Computed properties:
- ΔH_f (0 K) (meV/atom) = -1417
- Fermi-level density of states (states/eV per cell) = 11.95

Cell: 6.5725 6.5725 6.5757 Å, 99.61 99.61 119.99°
Sites, in units of the cell vectors:
Pu (0.0000, 0.0000, 0.0000)
Sc (0.1656, 0.8344, 0.5000)
Sc (0.3332, 0.6668, 0.0000)
Sc (0.5000, 0.5000, 0.5000)
Sc (0.6668, 0.3332, 0.0000)
Sc (0.8344, 0.1656, 0.5000)
P (0.0849, 0.4229, 0.2545)
P (0.2543, 0.2543, 0.7478)
P (0.4229, 0.0849, 0.2545)
P (0.5771, 0.9151, 0.7455)
P (0.7457, 0.7457, 0.2522)
P (0.9151, 0.5771, 0.7455)

(13)
The following is a GGA-PBE calculation of Cs6Au2OF after structural relaxation, from the Alexandria database.

Computed properties:
- Fermi-level density of states (states/eV per cell) = 7.74
- total energy (eV for the cell shown) = -56.13

Cell: 14.8514 14.8514 14.8514 Å, 32.34 32.34 32.34°
Sites, in units of the cell vectors:
Cs (0.1194, 0.1194, 0.6401)
Cs (0.1194, 0.6401, 0.1194)
Cs (0.2129, 0.7026, 0.7026)
Cs (0.2974, 0.2974, 0.7871)
Cs (0.2974, 0.7871, 0.2974)
Cs (0.3599, 0.8806, 0.8806)
Cs (0.6401, 0.1194, 0.1194)
Cs (0.7026, 0.2129, 0.7026)
Cs (0.7026, 0.7026, 0.2129)
Cs (0.7871, 0.2974, 0.2974)
Cs (0.8806, 0.3599, 0.8806)
Cs (0.8806, 0.8806, 0.3599)
Au (0.2035, 0.2035, 0.2035)
Au (0.3749, 0.3749, 0.3749)
Au (0.6251, 0.6251, 0.6251)
Au (0.7965, 0.7965, 0.7965)
O (0.0000, 0.0000, 0.0000)
O (0.5000, 0.5000, 0.5000)
F (0.0841, 0.0841, 0.0841)
F (0.9159, 0.9159, 0.9159)

(14)
The following is a GGA-PBE calculation of CuNi6H8 after structural relaxation, from the Alexandria database.

Computed properties:
- Fermi-level density of states (states/eV per cell) = 3.30
- total energy (eV for the cell shown) = -65.04

Cell: 6.6629 6.6629 2.7161 Å, 90.00 90.00 120.00°
Sites, in units of the cell vectors:
Cu (0.0000, 0.0000, 0.0000)
Ni (0.1164, 0.7068, 0.2485)
Ni (0.2932, 0.4097, 0.2485)
Ni (0.4097, 0.1164, 0.7515)
Ni (0.5903, 0.8836, 0.2485)
Ni (0.7068, 0.5903, 0.7515)
Ni (0.8836, 0.2932, 0.7515)
H (0.0417, 0.4024, 0.2535)
H (0.3333, 0.6667, 0.0998)
H (0.3607, 0.9583, 0.2535)
H (0.4024, 0.3607, 0.7465)
H (0.5976, 0.6393, 0.2535)
H (0.6393, 0.0417, 0.7465)
H (0.6667, 0.3333, 0.9002)
H (0.9583, 0.5976, 0.7465)

(15)
The following is a GGA-PBE calculation of LaReMo2 after structural relaxation, from the Alexandria database.

Computed properties:
- ΔH_f (0 K) (meV/atom) = 639
- Fermi-level density of states (states/eV per cell) = 4.79
- distance to the lowest polymorph of the same formula (eV/f.u.) = 1.02

Cell: 9.9694 9.9694 9.9694 Å, 17.08 17.08 17.08°
Sites, in units of the cell vectors:
La (0.0000, 0.0000, 0.0000)
Re (0.7606, 0.7606, 0.7606)
Mo (0.2379, 0.2379, 0.2379)
Mo (0.4966, 0.4966, 0.4966)

(16)
The following is a GGA-PBE calculation of Sr2LiHg6Au after structural relaxation, from the Alexandria database.

Computed properties:
- ΔH_f (0 K) (meV/atom) = -324
- Fermi-level density of states (states/eV per cell) = 4.66

Cell: 6.5197 6.7738 7.0207 Å, 79.33 73.92 72.29°
Sites, in units of the cell vectors:
Sr (0.1913, 0.2410, 0.2361)
Sr (0.8087, 0.7590, 0.7639)
Li (0.5000, 0.5000, 0.5000)
Hg (0.1723, 0.7284, 0.3298)
Hg (0.3222, 0.6216, 0.8689)
Hg (0.3541, 0.1506, 0.6968)
Hg (0.6459, 0.8494, 0.3032)
Hg (0.6778, 0.3784, 0.1311)
Hg (0.8277, 0.2716, 0.6702)
Au (0.0000, 0.0000, 0.0000)

(17)
The following is a GGA-PBE calculation of AgAuBr4 after structural relaxation, from the Alexandria database.

Computed properties:
- Fermi-level density of states (states/eV per cell) = 5.96
- total energy (eV for the cell shown) = -8.14

Cell: 6.2008 6.2008 6.2008 Å, 60.00 60.00 60.00°
Sites, in units of the cell vectors:
Ag (0.0000, 0.0000, 0.0000)
Au (0.7500, 0.7500, 0.7500)
Br (0.3760, 0.3760, 0.3760)
Br (0.3760, 0.3760, 0.8720)
Br (0.3760, 0.8720, 0.3760)
Br (0.8720, 0.3760, 0.3760)

(18)
The following is a GGA-PBE calculation of Y2Hf2Fe after structural relaxation, from the Alexandria database.

Computed properties:
- ΔH_f (0 K) (meV/atom) = 130
- Fermi-level density of states (states/eV per cell) = 5.55

Cell: 6.5898 6.5898 5.4000 Å, 90.00 90.00 90.00°
Sites, in units of the cell vectors:
Y (0.1695, 0.3305, 0.0000)
Y (0.3305, 0.8305, 0.0000)
Y (0.6695, 0.1695, 0.0000)
Y (0.8305, 0.6695, 0.0000)
Hf (0.1577, 0.6577, 0.5000)
Hf (0.3423, 0.1577, 0.5000)
Hf (0.6577, 0.8423, 0.5000)
Hf (0.8423, 0.3423, 0.5000)
Fe (0.0000, 0.0000, 0.5000)
Fe (0.5000, 0.5000, 0.5000)

(19)
The following is a GGA-PBE calculation of ErTm4Al after structural relaxation, from the Alexandria database.

Computed properties:
- ΔH_f (0 K) (meV/atom) = -124
- Fermi-level density of states (states/eV per cell) = 5.89
- distance to the lowest polymorph of the same formula (eV/f.u.) = 0.00

Cell: 3.4777 3.4777 13.7966 Å, 90.00 90.00 90.00°
Sites, in units of the cell vectors:
Er (0.0000, 0.0000, 0.0000)
Tm (0.0000, 0.0000, 0.3622)
Tm (0.0000, 0.0000, 0.6378)
Tm (0.5000, 0.5000, 0.1793)
Tm (0.5000, 0.5000, 0.8207)
Al (0.5000, 0.5000, 0.5000)

(20)
The following is a GGA-PBE calculation of La2Sb4Ir3Au after structural relaxation, from the Alexandria database.

Computed properties:
- Fermi-level density of states (states/eV per cell) = 4.41
- total energy (eV for the cell shown) = -62.67

Cell: 4.6830 4.6830 10.4417 Å, 90.00 90.00 90.00°
Sites, in units of the cell vectors:
La (0.0000, 0.5000, 0.2472)
La (0.5000, 0.0000, 0.7528)
Sb (0.0000, 0.0000, 0.5000)
Sb (0.0000, 0.5000, 0.8641)
Sb (0.5000, 0.0000, 0.1359)
Sb (0.5000, 0.5000, 0.5000)
Ir (0.0000, 0.0000, 0.0000)
Ir (0.0000, 0.5000, 0.6163)
Ir (0.5000, 0.0000, 0.3837)
Au (0.5000, 0.5000, 0.0000)

| no. | magnetization (μB/atom) |
| --- | --- |
| 1 | 0.000 |
| 2 | 0.000 |
| 3 | 0.584 |
| 4 | 0.000 |
| 5 | 0.000 |
| 6 | 0.000 |
| 7 | 1.145 |
| 8 | 0.794 |
| 9 | 1.239 |
| 10 | 0.000 |
| 11 | 0.926 |
| 12 | 0.398 |
| 13 | 0.000 |
| 14 | 0.000 |
| 15 | 0.000 |
| 16 | 0.000 |
| 17 | 0.000 |
| 18 | 0.000 |
| 19 | 0.000 |
| 20 | 0.000 |